This record from Alexandria describes a geometry-optimized RbGa2O structure. The functional is PBE.

Values from the calculation:
As for the density of states at the Fermi level: 5.8 states/eV/cell. The calculation puts the total energy at -3.30 eV per atom. The formation energy from raw total energies is -0.3028 eV per atom. As for the crystal system: tetragonal. As for the space group: No. 122.

a b c (Å): 6.254 6.254 6.254
angles (deg): 104.68 104.68 119.55
Element x y z (fractional)
Rb 0.000 0.000 0.000
Rb 0.750 0.250 0.500
Ga 0.233 0.625 0.108
Ga 0.375 0.483 0.608
Ga 0.517 0.125 0.892
Ga 0.875 0.767 0.392
O 0.250 0.750 0.500
O 0.500 0.500 0.000